This record from the Alexandria database describes crystalline Ac2TbPm4 at its relaxed geometry. The functional is PBE.

Lattice parameters (Å, degrees): 5.7087 5.7087 9.9874 106.61 106.61 90.00
Last column: magnetic moment on the atom in μB.
Positions (direct):
Pm  0.0000  0.5000  0.0000  0.11
Pm  0.5000  0.0000  0.0000  0.11
Pm  0.1734  0.1734  0.3467  0.03
Pm  0.8266  0.8266  0.6533  0.03
Ac  0.3718  0.3718  0.7436  0.01
Ac  0.6282  0.6282  0.2564  0.01
Tb  0.0000  0.0000  0.0000  0.29

Values from the calculation:
The calculation puts the density at 6.65 g/cm3. The space group is I4/mmm, No. 139. Its energy relative to the elements is 4.0 eV/f.u. The energy above the most stable polymorph in this dataset is 47.2 kJ/mol of atoms. The value obtained for the raw total energy is -0.293 Ry per atom. The calculation puts the calculated volume at 297.71 Å³/cell.

***

This record from the Alexandria database describes crystalline Sr3Pr2PuN6 at its relaxed geometry. The functional is PBE.

Lattice parameters (Å, degrees): 6.3245 6.3245 6.4000 99.53 99.53 120.02
Last column: magnetic moment on the atom in μB.
Positions (direct):
N  0.0698  0.3662  0.2102  -0.11
N  0.2235  0.2235  0.7958  -0.11
N  0.3662  0.0698  0.2102  -0.11
N  0.6338  0.9302  0.7898  -0.11
N  0.9302  0.6338  0.7898  -0.11
N  0.7765  0.7765  0.2042  -0.11
Pu  0.0000  0.0000  0.0000  2.78
Sr  0.1639  0.8361  0.5000  0.00
Sr  0.5000  0.5000  0.5000  0.00
Sr  0.8361  0.1639  0.5000  0.00
Pr  0.6674  0.3326  0.0000  0.02
Pr  0.3326  0.6674  0.0000  0.02

Values from the calculation:
The calculation puts the density at 6.93 g/cm3. The space group is C2/m, No. 12. The value obtained for the raw total energy is -0.557 Ry per atom. The calculation puts the calculated volume at 209.14 Å³/cell. The value obtained for the formation energy without anion corrections is -1.01 eV/atom.

***

This record from the Alexandria database describes crystalline Zn2F3 at its relaxed geometry. The functional is PBE.

Lattice parameters (Å, degrees): 4.0290 5.4630 6.5987 94.94 90.00 111.64
Positions (direct):
F  0.3319  0.6638  0.5576
F  0.2152  0.4304  0.1352
F  0.9422  0.8845  0.3044
F  0.0578  0.1155  0.6956
F  0.6681  0.3362  0.4424
F  0.7848  0.5696  0.8648
Zn  0.3990  0.7980  0.0704
Zn  0.1360  0.2720  0.4108
Zn  0.8640  0.7280  0.5892
Zn  0.6010  0.2020  0.9296

Values from the calculation:
The calculation puts the density at 4.64 g/cm3. The space group is C2/m, No. 12. The energy above the most stable polymorph in this dataset is 0.0 kJ/mol of atoms. The value obtained for the raw total energy is -0.267 Ry per atom. The calculation puts the calculated volume at 134.42 Å³/cell. The value obtained for the formation energy without anion corrections is -2.01 eV/atom.

***

This record from the Alexandria database describes crystalline TlTc3Rh at its relaxed geometry. The functional is PBE.

Lattice parameters (Å, degrees): 4.7267 4.7267 4.7267 90.00 90.00 90.00
Last column: magnetic moment on the atom in μB.
Positions (direct):
Tc  0.0000  0.0000  0.5000  1.21
Tc  0.0000  0.5000  0.0000  1.09
Tc  0.5000  0.0000  0.0000  1.01
Tl  0.5000  0.5000  0.5000  0.00
Rh  0.0000  0.0000  0.0000  -0.04

Values from the calculation:
The calculation puts the density at 9.45 g/cm3. The space group is Pm-3m, No. 221. Its energy relative to the elements is 8.5 eV/f.u. The energy above the most stable polymorph in this dataset is 0.0 kJ/mol of atoms. The value obtained for the raw total energy is -0.475 Ry per atom. The calculation puts the calculated volume at 105.60 Å³/cell.

***

This record from the Alexandria database describes crystalline PrThF at its relaxed geometry. The functional is PBE.

Lattice parameters (Å, degrees): 3.5893 3.5893 12.1925 82.64 82.64 89.98
Positions (direct):
Pr  0.7651  0.7651  0.3284
Pr  0.9881  0.9881  0.9789
Th  0.1713  0.1713  0.5487
Th  0.5819  0.5819  0.7587
F  0.2766  0.2766  0.3043
F  0.4766  0.4766  0.0030

Values from the calculation:
The calculation puts the density at 8.43 g/cm3. The space group is C2/m, No. 12. The value obtained for the raw total energy is -0.456 Ry per atom. The calculation puts the calculated volume at 154.48 Å³/cell. The value obtained for the formation energy without anion corrections is -1.51 eV/atom.

***

This record from the Alexandria database describes crystalline KLa3Rh at its relaxed geometry. The functional is PBE.

Lattice parameters (Å, degrees): 5.3556 5.3556 5.3556 90.00 90.00 90.00
Positions (direct):
La  0.0000  0.0000  0.5000
La  0.5000  0.0000  0.0000
La  0.0000  0.5000  0.0000
Rh  0.5000  0.5000  0.5000
K  0.0000  0.0000  0.0000

Values from the calculation:
The calculation puts the density at 6.04 g/cm3. The space group is Pm-3m, No. 221. Its energy relative to the elements is 6.6 eV/f.u. The energy above the most stable polymorph in this dataset is 140.5 kJ/mol of atoms. The value obtained for the raw total energy is -0.245 Ry per atom. The calculation puts the calculated volume at 153.61 Å³/cell.